Computed, not measured: a geometry-optimized TlInOs2 structure at the PBE level of DFT.

Unit cell a=9.190 b=9.190 c=9.190 alpha=18.92 beta=18.92 gamma=18.92
Fractional positions:
Tl 0.000 0.000 0.000
In 0.500 0.500 0.500
Os 0.248 0.248 0.248
Os 0.752 0.752 0.752

Magnetization = 0.000 μB/f.u.
Energy relative to the lowest polymorph listed for this composition = 511.1 meV/atom
Energy of formation from the pure elements = 0.9280 eV per atom